1.
Density functional theory data (meta-GGA SCAN) for a PBEsol-optimized structure of BeAg5.

Cell: 2.8613 2.8613 11.0692 Å, 90.00 90.00 90.00°
Space group P4/mmm (No. 123)
Symmetry-distinct sites (fractional):
Be 0.0000 0.0000 0.0000 x1
Ag 0.0000 0.0000 0.3166 x2
Ag 0.5000 0.5000 0.1314 x2
Ag 0.5000 0.5000 0.5000 x1

Summary:
**Total energy**: -161.0 eV per cell
**M_tot**: 0.00 μB/f.u.
**D(E_F)**: 0.296 states/eV/atom
**Energy relative to the lowest polymorph listed for this composition**: 0.00 kJ/mol of atoms

2.
Density functional theory data (meta-GGA SCAN) for a PBEsol-optimized structure of Be2Ag.

Cell: 2.6463 2.6463 5.8158 Å, 90.00 90.00 120.00°
Space group P-3m1 (No. 164)
Symmetry-distinct sites (fractional):
Be 0.3333 0.6667 0.3544 x2
Ag 0.0000 0.0000 0.0000 x1

Summary:
**Total energy**: -39.1 eV per cell
**M_tot**: 0.00 μB/f.u.
**D(E_F)**: 0.322 states/eV/atom
**Energy relative to the lowest polymorph listed for this composition**: 34.59 kJ/mol of atoms